Record 1
Compound: PuIn5Hg2
Source: Alexandria
Functional: GGA-PBE
Structure: relaxed

Cell and atoms, written as POSCAR:
```
PuIn5Hg2
1.0
-7.8937 -0.0145 -1.9941
-0.0244 -8.1402 0.1559
2.3721 4.2024 7.2004
In Hg Pu
10 4 2
Cartesian
-6.2008 -1.1285 3.0153
0.6548 -2.8238 2.3470
-3.9591 -4.0774 -0.9191
0.0000 0.0000 0.0000
-3.8577 1.2846 3.5592
-3.2871 -1.1698 1.3181
-1.6883 -5.2369 1.8030
-5.6158 1.2348 0.6819
0.0697 -5.1871 4.6803
-2.2590 -2.7826 4.0441
-2.8037 -6.9450 -0.5701
-5.1145 -1.2098 -1.2681
-1.1726 -2.8719 -0.2391
-6.7455 -5.2828 -1.5991
-0.7935 0.0625 3.1407
-4.7526 -4.0148 2.2216
```

D(E_F): 32.50 states/eV/cell
DFT formation energy: 0.053 eV per atom
final energy: -3.53 eV/atom
size of the total moment: 6.15 μB per formula unit
space group: I4/mcm

Record 2
Compound: CaSbTe2I
Source: Alexandria
Functional: GGA-PBE
Structure: relaxed

Cell and atoms, written as POSCAR:
```
CaSbTe2I
1.0
5.7828 0.0000 0.0000
0.0000 5.7828 0.0000
0.0000 0.0000 5.8415
Te Ca I Sb
2 1 1 1
Cartesian
0.0000 2.8914 0.0000
2.8914 0.0000 0.0000
2.8914 2.8914 2.9208
0.0000 0.0000 0.0000
0.0000 0.0000 2.9208
```

D(E_F): 6.45 states/eV/cell
energy above the most stable polymorph in this dataset: 2.77 eV per formula unit
final energy: -2.49 eV/atom
E_form (uncorrected): 0.300 eV per atom
size of the total moment: 0.00 μB per formula unit
space group: P4/mmm

Record 3
Compound: Cu5Ni4As
Source: Alexandria
Functional: GGA-PBE
Structure: relaxed

Cell and atoms, written as POSCAR:
```
Cu5Ni4As
1.0
3.8368 0.0000 -1.2179
0.0221 5.3266 0.0696
-0.0694 0.2118 6.4339
Ni Cu As
4 5 1
Cartesian
3.7565 1.4871 5.1817
0.0330 4.0513 0.1039
1.2768 1.4677 4.0223
2.5127 4.0707 1.2633
1.9295 2.6633 -0.5742
3.0836 0.1638 3.0618
0.7059 5.3746 2.2238
3.1436 2.9085 3.2508
0.6459 2.6299 2.0349
1.9184 0.0000 -0.6089
```

D(E_F): 5.07 states/eV/cell
DFT formation energy: 0.130 eV per atom
final energy: -4.70 eV/atom
size of the total moment: 0.00 μB per formula unit
space group: C2/m

Record 4
Compound: Zr2MoBr
Source: Alexandria
Functional: GGA-PBE
Structure: relaxed

Cell and atoms, written as POSCAR:
```
Zr2MoBr
1.0
5.3567 -0.0077 -0.0042
1.4935 5.1443 0.0042
-2.6794 -3.5626 2.9702
Zr Mo Br
2 1 1
Cartesian
3.3954 2.5460 0.0000
0.0297 0.0223 0.0000
1.1195 2.0750 1.4872
3.0511 -0.5011 1.4830
```

D(E_F): 3.29 states/eV/cell
energy above the most stable polymorph in this dataset: 2.36 eV per formula unit
final energy: -7.15 eV/atom
E_form (uncorrected): 0.251 eV per atom
size of the total moment: 0.00 μB per formula unit
space group: Immm

Record 5
Compound: Ni2AgTe4
Source: Alexandria
Functional: GGA-PBE
Structure: relaxed

Cell and atoms, written as POSCAR:
```
Ni2AgTe4
1.0
3.7713 0.0000 0.0000
0.0000 11.1234 0.0000
0.0000 0.0000 17.5676
Te Ni Ag
16 8 4
Cartesian
2.8285 10.8682 10.3227
2.8285 0.5546 1.9975
0.9428 10.5689 15.5702
0.9428 2.3374 16.9825
2.8285 8.7860 0.5851
0.9428 2.5873 4.9209
0.9428 7.8991 9.3690
0.9428 5.8170 1.5389
0.9428 0.2553 7.2449
0.9428 5.0071 10.7813
2.8285 3.2243 8.1987
2.8285 8.5362 12.6467
2.8285 5.3065 16.0288
0.9428 8.1490 3.8629
2.8285 6.1163 6.7863
2.8285 2.9744 13.7047
0.9428 10.5379 0.6008
0.9428 9.5256 11.3339
2.8285 1.5978 6.2338
2.8285 0.5855 16.9669
2.8285 7.1595 2.5500
2.8285 6.1472 9.3846
0.9428 3.9639 15.0176
0.9428 4.9762 8.1831
0.9428 3.0659 2.1775
2.8285 2.4958 10.9613
2.8285 8.0575 15.3901
0.9428 8.6276 6.6063
```

D(E_F): 16.79 states/eV/cell
final energy: -3.91 eV/atom
E_form (uncorrected): -0.054 eV per atom
size of the total moment: 0.00 μB per formula unit
space group: Pnma

Record 6
Compound: MgZrP2S
Source: Alexandria
Functional: GGA-PBE
Structure: relaxed

Cell and atoms, written as POSCAR:
```
MgZrP2S
1.0
-3.0904 3.5640 1.8027
-3.7716 -3.3541 0.1656
1.2799 -1.2124 4.5911
P S Zr Mg
2 1 1 1
Cartesian
-1.5452 1.7820 0.9014
-1.8858 -1.6771 0.0828
0.6399 -0.6062 2.2955
0.0000 0.0000 0.0000
-2.7910 -0.5013 3.2797
```

D(E_F): 4.86 states/eV/cell
energy above the most stable polymorph in this dataset: 0.00 eV per formula unit
final energy: -5.07 eV/atom
E_form (uncorrected): -0.048 eV per atom
size of the total moment: 0.00 μB per formula unit
space group: P4/mmm